The following is a PBE-GGA calculation of a relaxed Sr2CeZnO5 crystal, from Alexandria via LeMat-Bulk.

Summary:
- Magnetization: 0.0 μB per formula unit
- ΔE_f (raw): -2.661 eV/atom

Lattice parameters (Å, degrees): 3.5152 14.4366 10.7097 90.00 90.00 90.00
Space group Cmc2_1 (No. 36)
Symmetry-distinct sites (fractional):
Sr: 0.0000 0.1056 0.0000 x4
Sr: 0.0000 0.1223 0.6027 x4
Ce: 0.0000 0.2126 0.3132 x4
Zn: 0.0000 0.4887 0.7780 x4
O: 0.0000 0.0541 0.3501 x4
O: 0.0000 0.2840 0.9494 x4
O: 0.0000 0.2935 0.6808 x4
O: 0.0000 0.3673 0.3136 x4
O: 0.0000 0.5004 0.0947 x4



The following is a PBE-GGA calculation of a relaxed SrCeZnO4 crystal, from Alexandria via LeMat-Bulk.

Summary:
- Magnetization: 0.0 μB per formula unit
- ΔE_f (raw): -2.524 eV/atom

Lattice parameters (Å, degrees): 6.4767 10.0105 7.2129 90.00 90.00 90.00
Space group Cmcm (No. 63)
Symmetry-distinct sites (fractional):
Sr: 0.0000 0.0000 0.0000 x4
Ce: 0.0000 0.3450 0.2500 x4
Zn: 0.0000 0.3510 0.7500 x4
O: 0.0000 0.2531 0.5155 x8
O: 0.2272 0.4948 0.7500 x8



Question: Number 1 is which compound?
Answer: Sr2CeZnO5



Question: Number 2 is which compound?
Answer: SrCeZnO4



Question: What is the ΔE_f (raw) in the first record?
Answer: -2.661 eV/atom